! PBE+U Li7Mn2Co3O12, relaxed; values from VASP
! - M_tot: 0.583 μB per atom
! - Relative energy among the computed polymorphs: 37 meV per atom
! - Final energy: -5.8601 eV/atom
&SYSTEM
  ibrav = 0, nat = 24, ntyp = 4
/
ATOMIC_SPECIES
Li 6.94 Li.upf
Mn 54.94 Mn.upf
Co 58.93 Co.upf
O 16.00 O.upf
ATOMIC_POSITIONS crystal
Li 0.0000 0.0000 0.0000
Li 0.0032 0.0032 0.7634
Li 0.3356 0.3356 0.0629
Li 0.3402 0.3402 0.5942
Li 0.6598 0.6598 0.4058
Li 0.6644 0.6644 0.9371
Li 0.9968 0.9968 0.2366
Mn 0.3324 0.3324 0.3374
Mn 0.6676 0.6676 0.6626
Co 0.0000 0.0000 0.5000
Co 0.3477 0.3477 0.8427
Co 0.6523 0.6523 0.1573
O 0.1594 0.1594 0.5494
O 0.1664 0.1664 0.7651
O 0.1728 0.1728 0.0562
O 0.1780 0.1780 0.2965
O 0.4943 0.4943 0.3925
O 0.4950 0.4950 0.8680
O 0.5050 0.5050 0.1320
O 0.5057 0.5057 0.6075
O 0.8220 0.8220 0.7035
O 0.8272 0.8272 0.9438
O 0.8336 0.8336 0.2349
O 0.8406 0.8406 0.4506
CELL_PARAMETERS angstrom
6.2915 -1.4651 0.0000
6.2915 1.4651 0.0000
-3.1458 0.0000 11.7243